A plane-wave DFT calculation with PBE-GGA was carried out for a relaxed structure of Sr2La2MgTi3O12.

Summary:
E	-0.2972	hartree per atom
ΔE_f (raw)	-3.1862	eV/atom

a = 5.5987 Å, b = 5.6147 Å, c = 7.8975 Å
α = 89.91°, β = 89.99°, γ = 89.85°
Last column: nearest neighbours and their distance in Å.
Space group P1 (No. 1)
Unique sites:
1 Sr 0.0000 0.0000 0.0000 x1  8 O 2.52-2.83
2 Sr 0.4996 0.4611 0.4890 x1  7 O 2.51-2.78
3 La 0.0043 0.9559 0.4838 x1  5 O 2.40-2.68
4 La 0.5128 0.5162 0.0063 x1  6 O 2.42-2.64
5 Mg 0.5019 0.9815 0.2456 x1  6 O 2.06-2.10
6 Ti 0.0034 0.4751 0.2473 x1  6 O 1.93-2.07
7 Ti 0.0060 0.4896 0.7460 x1  6 O 1.90-2.10
8 Ti 0.5018 0.9957 0.7464 x1  5 O 1.91-2.11
9 O 0.0753 0.4659 0.9898 x1  2 Ti 1.97-2.07
10 O 0.2085 0.1990 0.2801 x1  1 Ti 1.94, 1 Mg 2.06
11 O 0.2210 0.1928 0.7088 x1  2 Ti 1.94-2.07
12 O 0.2652 0.6955 0.2731 x1  1 Ti 1.93, 1 Mg 2.10
13 O 0.2653 0.7007 0.7101 x1  1 Ti 1.90
14 O 0.4481 0.9535 0.9832 x1  1 Ti 1.91, 1 Mg 2.10
15 O 0.5775 0.9813 0.5065 x1  1 Ti 1.94, 1 Mg 2.10
16 O 0.7200 0.2552 0.7827 x1  2 Ti 1.93-2.10
17 O 0.7260 0.2694 0.2078 x1  1 Ti 1.96, 1 Mg 2.07
18 O 0.7746 0.7393 0.7776 x1  2 Ti 1.92-2.11
19 O 0.7827 0.7429 0.2160 x1  1 Ti 1.96, 1 Mg 2.08
20 O 0.9464 0.4831 0.4982 x1  2 Ti 1.99-2.01